Entry 1:
The following is a DFT calculation (PBE-GGA) of crystalline CdFeReNi2 at its relaxed geometry.

The structure in CIF format:
```
data_CdFeReNi2
_chemical_formula_sum 'Cd1 Fe1 Re1 Ni2'
_space_group_name_H-M_alt 'P 4/m m m'
_space_group_IT_number 123
_space_group_name_Hall '-P 4 2'
_cell_length_a 4.256
_cell_length_b 4.256
_cell_length_c 4.709
_cell_angle_alpha 90.00
_cell_angle_beta 90.00
_cell_angle_gamma 90.00
loop_
_atom_site_label
_atom_site_fract_x
_atom_site_fract_y
_atom_site_fract_z
Cd1 0.000 0.000 0.000
Fe1 0.000 0.000 0.500
Re1 0.500 0.500 0.000
Ni1 0.000 0.500 0.500
```

Output
Formation energy ... 1.5560 eV/atom



Entry 2:
The following is a DFT calculation (PBE-GGA) of crystalline ScCdRh2 at its relaxed geometry.

The structure in CIF format:
```
data_ScCdRh2
_chemical_formula_sum 'Sc2 Cd2 Rh4'
_space_group_name_H-M_alt 'C 1 m 1'
_space_group_IT_number 8
_space_group_name_Hall 'C -2y'
_cell_length_a 9.988
_cell_length_b 3.150
_cell_length_c 4.566
_cell_angle_alpha 90.00
_cell_angle_beta 109.01
_cell_angle_gamma 90.00
loop_
_atom_site_label
_atom_site_fract_x
_atom_site_fract_y
_atom_site_fract_z
Sc1 0.000 0.000 0.000
Cd1 0.277 0.500 0.359
Rh1 0.026 0.500 0.508
Rh2 0.259 0.000 0.851
```

Output
Formation energy ... -0.4805 eV/atom